Entry 1:
Rb12Ag5Br3: relaxed, PBE.

Calculated total energy (Ry per atom): -0.1379
Uncorrected formation energy (eV/f.u.): -6.63

Cell: 18.1745 18.1745 18.1745 Å, 109.47 109.47 109.47°
Positions (direct):
Rb 0.0532 0.2279 0.1239
Rb 0.0532 0.3252 0.9293
Rb 0.0707 0.6239 0.3959
Rb 0.0707 0.9468 0.6748
Rb 0.1041 0.7279 0.6748
Rb 0.1041 0.8761 0.4293
Rb 0.1239 0.0532 0.2279
Rb 0.1239 0.5707 0.8959
Rb 0.1748 0.2279 0.6041
Rb 0.1748 0.4468 0.5707
Rb 0.2279 0.1239 0.0532
Rb 0.2279 0.6041 0.1748
Rb 0.2721 0.3252 0.8959
Rb 0.2721 0.4468 0.3761
Rb 0.3252 0.8959 0.2721
Rb 0.3252 0.9293 0.0532
Rb 0.3761 0.2721 0.4468
Rb 0.3761 0.6041 0.9293
Rb 0.3959 0.0707 0.6239
Rb 0.3959 0.8252 0.7721
Rb 0.4293 0.1041 0.8761
Rb 0.4293 0.8252 0.5532
Rb 0.4468 0.3761 0.2721
Rb 0.4468 0.5707 0.1748
Rb 0.5532 0.4293 0.8252
Rb 0.5532 0.6239 0.7279
Rb 0.5707 0.1748 0.4468
Rb 0.5707 0.8959 0.1239
Rb 0.6041 0.1748 0.2279
Rb 0.6041 0.9293 0.3761
Rb 0.6239 0.3959 0.0707
Rb 0.6239 0.7279 0.5532
Rb 0.6748 0.0707 0.9468
Rb 0.6748 0.1041 0.7279
Rb 0.7279 0.5532 0.6239
Rb 0.7279 0.6748 0.1041
Rb 0.7721 0.3959 0.8252
Rb 0.7721 0.8761 0.9468
Rb 0.8252 0.5532 0.4293
Rb 0.8252 0.7721 0.3959
Rb 0.8761 0.4293 0.1041
Rb 0.8761 0.9468 0.7721
Rb 0.8959 0.1239 0.5707
Rb 0.8959 0.2721 0.3252
Rb 0.9293 0.0532 0.3252
Rb 0.9293 0.3761 0.6041
Rb 0.9468 0.6748 0.0707
Rb 0.9468 0.7721 0.8761
Ag 0.0000 0.0000 0.0000
Ag 0.0000 0.0000 0.5000
Ag 0.0000 0.5000 0.0000
Ag 0.0000 0.5000 0.5000
Ag 0.1250 0.7500 0.8750
Ag 0.1250 0.8750 0.2500
Ag 0.2500 0.1250 0.8750
Ag 0.2500 0.6250 0.3750
Ag 0.3750 0.2500 0.6250
Ag 0.3750 0.6250 0.7500
Ag 0.5000 0.0000 0.0000
Ag 0.5000 0.0000 0.5000
Ag 0.5000 0.5000 0.0000
Ag 0.5000 0.5000 0.5000
Ag 0.6250 0.3750 0.2500
Ag 0.6250 0.7500 0.3750
Ag 0.7500 0.3750 0.6250
Ag 0.7500 0.8750 0.1250
Ag 0.8750 0.1250 0.7500
Ag 0.8750 0.2500 0.1250
Br 0.1250 0.2500 0.3750
Br 0.1250 0.3750 0.7500
Br 0.2500 0.3750 0.1250
Br 0.2500 0.8750 0.6250
Br 0.3750 0.1250 0.2500
Br 0.3750 0.7500 0.1250
Br 0.6250 0.2500 0.8750
Br 0.6250 0.8750 0.7500
Br 0.7500 0.1250 0.3750
Br 0.7500 0.6250 0.8750
Br 0.8750 0.6250 0.2500
Br 0.8750 0.7500 0.6250

***

Entry 2:
SrTe2PdO8: relaxed, PBE.

Calculated total energy (Ry per atom): -0.3945
Uncorrected formation energy (eV/f.u.): -11.59

Cell: 7.5117 7.5117 7.5117 Å, 42.07 42.07 42.07°
Positions (direct):
Sr 0.0000 0.0000 0.0000
Te 0.2218 0.2218 0.2218
Te 0.7782 0.7782 0.7782
Pd 0.5000 0.5000 0.5000
O 0.1577 0.4017 0.7781
O 0.2219 0.8423 0.5983
O 0.3117 0.3117 0.3117
O 0.4017 0.7781 0.1577
O 0.5983 0.2219 0.8423
O 0.6883 0.6883 0.6883
O 0.7781 0.1577 0.4017
O 0.8423 0.5983 0.2219